[1]
Zr3TaGe, optimized geometry, DFT PBE; energy above the most stable polymorph in this dataset = 382.9 meV per atom; space group = Pm-3m, No. 221; D(E_F) = 1.771 states/eV per atom; E_tot = -0.2739 Ha/atom; energy of formation = 969 meV per atom
1.0
5.0990 0.0000 0.0000
0.0000 5.0990 0.0000
0.0000 0.0000 5.0990
Zr Ta Ge
3 1 1
Direct
0.0000 0.0000 0.5000
0.0000 0.5000 0.0000
0.5000 0.0000 0.0000
0.0000 0.0000 0.0000
0.5000 0.5000 0.5000


[2]
ZrTa3Ge, optimized geometry, DFT PBE; energy above the most stable polymorph in this dataset = 1209.8 meV per atom; space group = Pm-3m, No. 221; D(E_F) = 1.712 states/eV per atom; E_tot = -0.2855 Ha/atom; energy of formation = 1975 meV per atom
1.0
4.9193 0.0000 0.0000
0.0000 4.9193 0.0000
0.0000 0.0000 4.9193
Zr Ta Ge
1 3 1
Direct
0.0000 0.0000 0.0000
0.0000 0.0000 0.5000
0.0000 0.5000 0.0000
0.5000 0.0000 0.0000
0.5000 0.5000 0.5000


[3]
Zr2TaGe2, optimized geometry, DFT PBE; space group = P4/mbm, No. 127; D(E_F) = 0.413 states/eV per atom; E_tot = -0.3069 Ha/atom; energy of formation = -715 meV per atom
1.0
7.0058 0.0000 0.0000
0.0000 7.0058 0.0000
0.0000 0.0000 3.7897
Zr Ta Ge
4 2 4
Direct
0.1727 0.3273 0.0000
0.3273 0.8273 0.0000
0.6727 0.1727 0.0000
0.8273 0.6727 0.0000
0.0000 0.0000 0.5000
0.5000 0.5000 0.5000
0.1307 0.6307 0.5000
0.3693 0.1307 0.5000
0.6307 0.8693 0.5000
0.8693 0.3693 0.5000


[4]
ZrTa2Ge2, optimized geometry, DFT PBE; space group = P4/mbm, No. 127; D(E_F) = 0.220 states/eV per atom; E_tot = -0.3208 Ha/atom; energy of formation = -431 meV per atom
1.0
7.0470 0.0000 0.0000
0.0000 7.0470 0.0000
0.0000 0.0000 3.5531
Zr Ta Ge
2 4 4
Direct
0.0000 0.0000 0.0000
0.5000 0.5000 0.0000
0.1657 0.3343 0.5000
0.3343 0.8343 0.5000
0.6657 0.1657 0.5000
0.8343 0.6657 0.5000
0.1320 0.6320 0.0000
0.3680 0.1320 0.0000
0.6320 0.8680 0.0000
0.8680 0.3680 0.0000


[5]
ZrTa3Ge, optimized geometry, DFT PBE; energy above the most stable polymorph in this dataset = 0.0 meV per atom; space group = Pm-3m, No. 221; D(E_F) = 0.909 states/eV per atom; E_tot = -0.3300 Ha/atom; energy of formation = 765 meV per atom
1.0
4.7726 0.0000 0.0000
0.0000 4.7726 0.0000
0.0000 0.0000 4.7726
Zr Ta Ge
1 3 1
Direct
0.0000 0.0000 0.0000
0.0000 0.5000 0.5000
0.5000 0.0000 0.5000
0.5000 0.5000 0.0000
0.5000 0.5000 0.5000


[6]
ZrTaGe3, optimized geometry, DFT PBE; energy above the most stable polymorph in this dataset = 676.4 meV per atom; space group = Pm-3m, No. 221; D(E_F) = 1.342 states/eV per atom; E_tot = -0.2055 Ha/atom; energy of formation = 1259 meV per atom
1.0
4.9948 0.0000 0.0000
0.0000 4.9948 0.0000
0.0000 0.0000 4.9948
Zr Ta Ge
1 1 3
Direct
0.0000 0.0000 0.0000
0.5000 0.5000 0.5000
0.0000 0.0000 0.5000
0.0000 0.5000 0.0000
0.5000 0.0000 0.0000


[7]
ZrTaGe3, optimized geometry, DFT PBE; energy above the most stable polymorph in this dataset = 0.0 meV per atom; space group = Pm-3m, No. 221; D(E_F) = 0.750 states/eV per atom; E_tot = -0.2303 Ha/atom; energy of formation = 583 meV per atom
1.0
4.9101 0.0000 0.0000
0.0000 4.9101 0.0000
0.0000 0.0000 4.9101
Zr Ta Ge
1 1 3
Direct
0.0000 0.0000 0.0000
0.5000 0.5000 0.5000
0.0000 0.5000 0.5000
0.5000 0.0000 0.5000
0.5000 0.5000 0.0000


[8]
Zr2TaGe6, optimized geometry, DFT PBE; space group = C222, No. 21; D(E_F) = 0.341 states/eV per atom; E_tot = -0.2473 Ha/atom; energy of formation = -434 meV per atom
1.0
2.5484 -4.4317 0.0000
2.5484 4.4317 0.0000
0.0000 0.0000 7.0195
Zr Ta Ge
2 1 6
Direct
0.0000 0.5000 0.1664
0.5000 0.0000 0.8336
0.0000 0.0000 0.5000
0.1734 0.3354 0.8287
0.3339 0.6661 0.5000
0.3354 0.1734 0.1713
0.6646 0.8266 0.1713
0.6661 0.3339 0.5000
0.8266 0.6646 0.8287


The highest E_tot belongs to which entry?
number 6